# 1
# PBE TbGdTe2As2, optimized geometry
# **Electronic total energy**: -5.31 eV per atom
# **SG**: P4mm
data_TbGdTe2As2
_space_group_name_H-M_alt 'P 1'
_space_group_IT_number 1
_cell_length_a 4.094
_cell_length_b 4.094
_cell_length_c 9.124
_cell_angle_alpha 90.00
_cell_angle_beta 90.00
_cell_angle_gamma 90.00
loop_
_space_group_symop_operation_xyz
'x,y,z'
loop_
_atom_site_label
_atom_site_type_symbol
_atom_site_fract_x
_atom_site_fract_y
_atom_site_fract_z
Tb1 Tb 0.000 0.000 0.000
Gd1 Gd 0.500 0.500 0.493
Te1 Te 0.000 0.000 0.371
Te2 Te 0.500 0.500 0.120
As1 As 0.000 0.500 0.747
As2 As 0.500 0.000 0.747



# 2
# PBE PrNiAs, optimized geometry
# **Electronic total energy**: -6.03 eV per atom
# **SG**: P6_3/mmc
data_PrNiAs
_space_group_name_H-M_alt 'P 1'
_space_group_IT_number 1
_cell_length_a 4.129
_cell_length_b 4.129
_cell_length_c 8.187
_cell_angle_alpha 90.00
_cell_angle_beta 90.00
_cell_angle_gamma 120.00
loop_
_space_group_symop_operation_xyz
'x,y,z'
loop_
_atom_site_label
_atom_site_type_symbol
_atom_site_fract_x
_atom_site_fract_y
_atom_site_fract_z
Pr1 Pr 0.000 0.000 0.000
Pr2 Pr 0.000 0.000 0.500
Ni1 Ni 0.333 0.667 0.250
Ni2 Ni 0.667 0.333 0.750
As1 As 0.333 0.667 0.750
As2 As 0.667 0.333 0.250



# 3
# PBE Nd2AlSnPt4, optimized geometry
# **Electronic total energy**: -6.19 eV per atom
# **SG**: P-3m1
data_Nd2AlSnPt4
_space_group_name_H-M_alt 'P 1'
_space_group_IT_number 1
_cell_length_a 4.513
_cell_length_b 4.513
_cell_length_c 9.492
_cell_angle_alpha 90.00
_cell_angle_beta 90.00
_cell_angle_gamma 120.00
loop_
_space_group_symop_operation_xyz
'x,y,z'
loop_
_atom_site_label
_atom_site_type_symbol
_atom_site_fract_x
_atom_site_fract_y
_atom_site_fract_z
Nd1 Nd 0.333 0.667 0.253
Nd2 Nd 0.667 0.333 0.747
Al1 Al 0.000 0.000 0.500
Sn1 Sn 0.000 0.000 0.000
Pt1 Pt 0.333 0.667 0.575
Pt2 Pt 0.333 0.667 0.911
Pt3 Pt 0.667 0.333 0.089
Pt4 Pt 0.667 0.333 0.425



# 4
# PBE Ta2SnOs, optimized geometry
# **Electronic total energy**: -9.55 eV per atom
# **SG**: F-43m
data_Ta2SnOs
_space_group_name_H-M_alt 'P 1'
_space_group_IT_number 1
_cell_length_a 4.639
_cell_length_b 4.639
_cell_length_c 4.639
_cell_angle_alpha 60.00
_cell_angle_beta 60.00
_cell_angle_gamma 60.00
loop_
_space_group_symop_operation_xyz
'x,y,z'
loop_
_atom_site_label
_atom_site_type_symbol
_atom_site_fract_x
_atom_site_fract_y
_atom_site_fract_z
Ta1 Ta 0.000 0.000 0.000
Ta2 Ta 0.250 0.250 0.250
Sn1 Sn 0.500 0.500 0.500
Os1 Os 0.750 0.750 0.750



# 5
# PBE ErBeAu, optimized geometry
# **Energy relative to the lowest polymorph listed for this composition**: 0 meV per atom
# **SG**: F-43m
data_ErBeAu
_space_group_name_H-M_alt 'P 1'
_space_group_IT_number 1
_cell_length_a 4.346
_cell_length_b 4.346
_cell_length_c 4.346
_cell_angle_alpha 60.00
_cell_angle_beta 60.00
_cell_angle_gamma 60.00
loop_
_space_group_symop_operation_xyz
'x,y,z'
loop_
_atom_site_label
_atom_site_type_symbol
_atom_site_fract_x
_atom_site_fract_y
_atom_site_fract_z
Er1 Er 0.000 0.000 0.000
Be1 Be 0.750 0.750 0.750
Au1 Au 0.500 0.500 0.500



# 6
# PBE MgZnB2, optimized geometry
# **Electronic total energy**: -2.79 eV per atom
# **SG**: F-43m
data_MgZnB2
_space_group_name_H-M_alt 'P 1'
_space_group_IT_number 1
_cell_length_a 4.068
_cell_length_b 4.068
_cell_length_c 4.068
_cell_angle_alpha 60.00
_cell_angle_beta 60.00
_cell_angle_gamma 60.00
loop_
_space_group_symop_operation_xyz
'x,y,z'
loop_
_atom_site_label
_atom_site_type_symbol
_atom_site_fract_x
_atom_site_fract_y
_atom_site_fract_z
Mg1 Mg 0.000 0.000 0.000
Zn1 Zn 0.250 0.250 0.250
B1 B 0.500 0.500 0.500
B2 B 0.750 0.750 0.750



# 7
# PBE Y2TlCd, optimized geometry
# **Electronic total energy**: -4.43 eV per atom
# **SG**: P4/mmm
data_Y2TlCd
_space_group_name_H-M_alt 'P 1'
_space_group_IT_number 1
_cell_length_a 3.775
_cell_length_b 3.775
_cell_length_c 7.508
_cell_angle_alpha 90.00
_cell_angle_beta 90.00
_cell_angle_gamma 90.00
loop_
_space_group_symop_operation_xyz
'x,y,z'
loop_
_atom_site_label
_atom_site_type_symbol
_atom_site_fract_x
_atom_site_fract_y
_atom_site_fract_z
Y1 Y 0.000 0.000 0.245
Y2 Y 0.000 0.000 0.755
Tl1 Tl 0.500 0.500 0.500
Cd1 Cd 0.500 0.500 0.000



# 8
# PBE Tb3Zn2Si4Au2, optimized geometry
# **Energy relative to the lowest polymorph listed for this composition**: 51 meV per atom
# **SG**: Immm
data_Tb3Zn2Si4Au2
_space_group_name_H-M_alt 'P 1'
_space_group_IT_number 1
_cell_length_a 12.645
_cell_length_b 12.645
_cell_length_c 12.645
_cell_angle_alpha 161.20
_cell_angle_beta 161.02
_cell_angle_gamma 26.84
loop_
_space_group_symop_operation_xyz
'x,y,z'
loop_
_atom_site_label
_atom_site_type_symbol
_atom_site_fract_x
_atom_site_fract_y
_atom_site_fract_z
Tb1 Tb 0.000 0.000 0.000
Tb2 Tb 0.356 0.856 0.500
Tb3 Tb 0.644 0.144 0.500
Zn1 Zn 0.093 0.593 0.500
Zn2 Zn 0.907 0.407 0.500
Si1 Si 0.188 0.688 0.500
Si2 Si 0.453 0.453 0.000
Si3 Si 0.547 0.547 0.000
Si4 Si 0.812 0.312 0.500
Au1 Au 0.251 0.251 0.000
Au2 Au 0.749 0.749 0.000